The following is a PBE calculation of an optimized crystal structure of Nb2OsRhCl, from Alexandria.

The structure in POSCAR format:
```
Nb2OsRhCl
1.0
4.910 0.000 0.000
0.000 4.910 0.000
0.000 0.000 4.749
Nb Os Rh Cl
2 1 1 1
Direct
0.000 0.500 0.000
0.500 0.000 0.000
0.000 0.000 0.000
0.000 0.000 0.500
0.500 0.500 0.500
```

Values from the calculation:
For the raw formation energy, the calculation gives 5.7 eV per formula unit. As for the symmetry: P4/mmm (123).